Here is a relaxed BiAs3Se6 crystal from the Alexandria database. Energies are from GGA-PBE.

Structure (POSCAR):
```
BiAs3Se6
1.0
11.828 0.000 0.000
0.000 3.890 0.000
-3.912 0.000 11.833
Bi As Se
2 6 12
direct
0.171 0.250 0.494
0.829 0.750 0.506
0.088 0.750 0.836
0.364 0.250 0.944
0.403 0.750 0.367
0.597 0.250 0.633
0.636 0.750 0.056
0.912 0.250 0.164
0.012 0.750 0.371
0.140 0.250 0.976
0.250 0.250 0.297
0.267 0.750 0.779
0.396 0.750 0.560
0.432 0.750 0.097
0.568 0.250 0.903
0.604 0.250 0.440
0.733 0.250 0.221
0.750 0.750 0.703
0.860 0.750 0.024
0.988 0.250 0.629
```

Values from the calculation:
SG = P2_1/m (11)
calculated total energy = -4.048 eV per atom
volume = 545 Å³ per cell
theoretical density = 5.5 Mg/m³
ΔE_f (raw) = -174 meV per atom